[1]
Material: NaSnP2O
Method: DFT, PBE
State: optimized geometry

Its calculated total energy is -20.056 eV/cell. Its symmetry is No. 123. Its energy above the most stable polymorph in this dataset is 0.0 kJ per mole of atoms.

The structure in POSCAR format:
```
NaSnP2O
1.0
5.317 0.000 0.000
0.000 5.317 0.000
0.000 0.000 3.951
Na Sn P O
1 1 2 1
direct
0.000 0.000 0.000 Na
0.500 0.500 0.500 Sn
0.000 0.500 0.500 P
0.500 0.000 0.500 P
0.500 0.500 0.000 O
```

[2]
Material: AcLa3Cl
Method: DFT, PBE
State: optimized geometry

Its calculated total energy is -23.730 eV/cell. Its symmetry is No. 221.

The structure in POSCAR format:
```
AcLa3Cl
1.0
5.658 0.000 0.000
0.000 5.658 0.000
0.000 0.000 5.658
Ac La Cl
1 3 1
direct
0.000 0.000 0.000 Ac
0.000 0.500 0.500 La
0.500 0.000 0.500 La
0.500 0.500 0.000 La
0.500 0.500 0.500 Cl
```

[3]
Material: TcSbAu3
Method: DFT, PBE
State: optimized geometry

Its calculated total energy is -18.391 eV/cell. Its symmetry is No. 221. Its energy above the most stable polymorph in this dataset is 7.0 kJ per mole of atoms.

The structure in POSCAR format:
```
TcSbAu3
1.0
5.159 0.000 0.000
0.000 5.159 0.000
0.000 0.000 5.159
Tc Sb Au
1 1 3
direct
0.000 0.000 0.000 Tc
0.500 0.500 0.500 Sb
0.000 0.500 0.500 Au
0.500 0.000 0.500 Au
0.500 0.500 0.000 Au
```

[4]
Material: CeTiSi
Method: DFT, PBE
State: optimized geometry

Its calculated total energy is -20.184 eV/cell. Its symmetry is No. 107.

The structure in POSCAR format:
```
CeTiSi
1.0
-1.772 1.772 4.811
1.772 -1.772 4.811
1.772 1.772 -4.811
Ce Ti Si
1 1 1
direct
0.000 0.000 0.000 Ce
0.268 0.268 0.000 Ti
0.691 0.691 0.000 Si
```

[5]
Material: RbMo2Os
Method: DFT, PBE
State: optimized geometry

Its calculated total energy is -53.520 eV/cell. Its symmetry is No. 141. Its energy above the most stable polymorph in this dataset is 11.1 kJ per mole of atoms.

The structure in POSCAR format:
```
RbMo2Os
1.0
-2.575 2.575 8.534
2.575 -2.575 8.534
2.575 2.575 -8.534
Rb Mo Os
2 4 2
direct
0.375 0.625 0.750 Rb
0.625 0.375 0.250 Rb
0.000 0.000 0.000 Mo
0.000 0.000 0.500 Mo
0.000 0.500 0.000 Mo
0.500 0.000 0.500 Mo
0.125 0.875 0.250 Os
0.875 0.125 0.750 Os
```

[6]
Material: GdDyMgRu
Method: DFT, PBE
State: optimized geometry

Its calculated total energy is -30.255 eV/cell. Its symmetry is No. 216.

The structure in POSCAR format:
```
GdDyMgRu
1.0
0.000 3.565 3.565
3.565 0.000 3.565
3.565 3.565 0.000
Gd Dy Mg Ru
1 1 1 1
direct
0.000 0.000 0.000 Gd
0.500 0.500 0.500 Dy
0.750 0.750 0.750 Mg
0.250 0.250 0.250 Ru
```

[7]
Material: Tb3Ga4
Method: DFT, PBE
State: optimized geometry

Its calculated total energy is -60.303 eV/cell. Its symmetry is No. 63. Its energy above the most stable polymorph in this dataset is 4.4 kJ per mole of atoms.

The structure in POSCAR format:
```
Tb3Ga4
1.0
2.061 -5.468 0.000
2.061 5.468 0.000
0.000 0.000 14.079
Tb Ga
6 8
direct
0.001 0.999 0.750 Tb
0.297 0.703 0.100 Tb
0.297 0.703 0.400 Tb
0.703 0.297 0.600 Tb
0.703 0.297 0.900 Tb
0.999 0.001 0.250 Tb
0.000 0.000 0.000 Ga
0.000 0.000 0.500 Ga
0.274 0.726 0.750 Ga
0.416 0.584 0.601 Ga
0.416 0.584 0.899 Ga
0.584 0.416 0.101 Ga
0.584 0.416 0.399 Ga
0.726 0.274 0.250 Ga
```

[8]
Material: NdHoErIn
Method: DFT, PBE
State: optimized geometry

Its calculated total energy is -17.171 eV/cell. Its symmetry is No. 216. Its energy above the most stable polymorph in this dataset is 0.0 kJ per mole of atoms.

The structure in POSCAR format:
```
NdHoErIn
1.0
0.000 3.878 3.878
3.878 0.000 3.878
3.878 3.878 0.000
Nd Ho Er In
1 1 1 1
direct
0.000 0.000 0.000 Nd
0.750 0.750 0.750 Ho
0.500 0.500 0.500 Er
0.250 0.250 0.250 In
```

[9]
Material: Hf2BiW
Method: DFT, PBE
State: optimized geometry

Its calculated total energy is -66.491 eV/cell. Its symmetry is No. 122.

The structure in POSCAR format:
```
Hf2BiW
1.0
-2.150 2.150 10.011
2.150 -2.150 10.011
2.150 2.150 -10.011
Hf Bi W
4 2 2
direct
0.118 0.625 0.993 Hf
0.375 0.368 0.493 Hf
0.632 0.125 0.007 Hf
0.875 0.882 0.507 Hf
0.250 0.750 0.500 Bi
0.500 0.500 0.000 Bi
0.000 0.000 0.000 W
0.750 0.250 0.500 W
```

[10]
Material: Cu2TeAs
Method: DFT, PBE
State: optimized geometry

Its calculated total energy is -14.688 eV/cell. Its symmetry is No. 160. Its energy above the most stable polymorph in this dataset is 25.6 kJ per mole of atoms.

The structure in POSCAR format:
```
Cu2TeAs
1.0
1.550 0.895 9.434
-1.550 0.895 9.434
0.000 -1.790 9.434
Cu Te As
2 1 1
direct
0.000 0.000 0.000 Cu
0.269 0.269 0.269 Cu
0.743 0.743 0.743 Te
0.540 0.540 0.540 As
```

[11]
Material: PW3
Method: DFT, PBE
State: optimized geometry

Its calculated total energy is -42.781 eV/cell. Its symmetry is No. 139. Its energy above the most stable polymorph in this dataset is 48.5 kJ per mole of atoms.

The structure in POSCAR format:
```
PW3
1.0
-1.847 1.847 4.454
1.847 -1.847 4.454
1.847 1.847 -4.454
P W
1 3
direct
0.000 0.000 0.000 P
0.250 0.750 0.500 W
0.500 0.500 0.000 W
0.750 0.250 0.500 W
```

[12]
Material: LiY6Ni2
Method: DFT, PBE
State: optimized geometry

Its calculated total energy is -107.887 eV/cell. Its symmetry is No. 71.

The structure in POSCAR format:
```
LiY6Ni2
1.0
-4.695 4.825 5.063
4.695 -4.825 5.063
4.695 4.825 -5.063
Li Y Ni
2 12 4
direct
0.000 0.000 0.000 Li
0.500 0.500 0.000 Li
0.032 0.229 0.803 Y
0.181 0.289 0.471 Y
0.181 0.711 0.892 Y
0.321 0.012 0.691 Y
0.321 0.630 0.309 Y
0.426 0.229 0.197 Y
0.574 0.771 0.803 Y
0.679 0.370 0.691 Y
0.679 0.988 0.309 Y
0.819 0.289 0.108 Y
0.819 0.711 0.529 Y
0.968 0.771 0.197 Y
0.120 0.620 0.500 Ni
0.349 0.000 0.349 Ni
0.651 0.000 0.651 Ni
0.880 0.380 0.500 Ni
```

[13]
Material: Tb3Pm4In
Method: DFT, PBE
State: optimized geometry

Its calculated total energy is -72.829 eV/cell. Its symmetry is No. 31. Its energy above the most stable polymorph in this dataset is 0.0 kJ per mole of atoms.

The structure in POSCAR format:
```
Tb3Pm4In
1.0
11.342 0.000 0.000
0.000 7.168 0.000
0.000 0.000 6.238
Tb Pm In
6 8 2
direct
0.000 0.127 0.000 Tb
0.245 0.116 0.323 Tb
0.255 0.884 0.823 Tb
0.500 0.873 0.500 Tb
0.745 0.884 0.823 Tb
0.755 0.116 0.323 Tb
0.000 0.371 0.525 Pm
0.000 0.632 0.975 Pm
0.231 0.633 0.341 Pm
0.269 0.367 0.841 Pm
0.500 0.368 0.475 Pm
0.500 0.629 0.025 Pm
0.731 0.367 0.841 Pm
0.769 0.633 0.341 Pm
0.000 0.890 0.503 In
0.500 0.110 0.003 In
```

[14]
Material: Ac4Cd3Ag
Method: DFT, PBE
State: optimized geometry

Its calculated total energy is -24.006 eV/cell. Its symmetry is No. 25. Its energy above the most stable polymorph in this dataset is 3.6 kJ per mole of atoms.

The structure in POSCAR format:
```
Ac4Cd3Ag
1.0
4.091 0.000 0.000
0.000 5.065 0.000
0.000 0.000 12.993
Ac Cd Ag
4 3 1
direct
0.000 0.000 0.000 Ac
0.000 0.500 0.300 Ac
0.500 0.000 0.491 Ac
0.500 0.500 0.807 Ac
0.000 0.000 0.717 Cd
0.000 0.500 0.581 Cd
0.500 0.500 0.084 Cd
0.500 0.000 0.219 Ag
```

[15]
Material: K8Na3Hg
Method: DFT, PBE
State: optimized geometry

Its calculated total energy is -12.842 eV/cell. Its symmetry is No. 162.

The structure in POSCAR format:
```
K8Na3Hg
1.0
7.491 0.000 0.000
-3.745 6.487 0.000
0.000 0.000 13.830
K Na Hg
8 3 1
direct
0.000 0.321 0.241 K
0.000 0.679 0.759 K
0.321 0.000 0.241 K
0.321 0.321 0.759 K
0.333 0.667 0.500 K
0.667 0.333 0.500 K
0.679 0.000 0.759 K
0.679 0.679 0.241 K
0.000 0.000 0.000 Na
0.333 0.667 0.000 Na
0.667 0.333 0.000 Na
0.000 0.000 0.500 Hg
```

[16]
Material: Sr2BiSb3Pd4
Method: DFT, PBE
State: optimized geometry

Its calculated total energy is -47.802 eV/cell. Its symmetry is No. 115.

The structure in POSCAR format:
```
Sr2BiSb3Pd4
1.0
4.734 0.000 0.000
0.000 4.734 0.000
0.000 0.000 10.920
Sr Bi Sb Pd
2 1 3 4
direct
0.000 0.500 0.235 Sr
0.500 0.000 0.765 Sr
0.000 0.000 0.500 Bi
0.000 0.500 0.877 Sb
0.500 0.000 0.123 Sb
0.500 0.500 0.500 Sb
0.000 0.000 0.000 Pd
0.000 0.500 0.636 Pd
0.500 0.000 0.364 Pd
0.500 0.500 0.000 Pd
```